[1]
Compound: Ac4AsPt2Se
Source: Alexandria via LeMat-Bulk
Functional: PBE
Structure: optimized geometry

Calculated values
Density in Mg/m³: 9.49
Uncorrected formation energy in meV/atom: -1373

abc: 4.389 7.590 8.032
angles: 108.21 90.00 90.00
Sites, in units of the cell vectors:
Se (0.000, 0.000, 0.000)
As (0.500, 0.500, 0.000)
Pt (0.500, 0.000, 0.500)
Pt (0.000, 0.500, 0.500)
Ac (0.000, 0.750, 0.263)
Ac (0.500, 0.741, 0.734)
Ac (0.500, 0.259, 0.266)
Ac (0.000, 0.250, 0.737)

[2]
Compound: Ac6AsPt2Se3
Source: Alexandria via LeMat-Bulk
Functional: PBE
Structure: optimized geometry

Calculated values
Density in Mg/m³: 8.84
Uncorrected formation energy in meV/atom: -1567

abc: 4.414 9.200 10.159
angles: 105.26 102.55 90.00
Sites, in units of the cell vectors:
Pt (0.168, 0.337, 0.336)
Pt (0.832, 0.663, 0.664)
As (0.500, 0.000, 0.000)
Se (0.161, 0.839, 0.322)
Se (0.500, 0.500, 0.000)
Se (0.839, 0.161, 0.678)
Ac (0.667, 0.101, 0.333)
Ac (0.333, 0.899, 0.667)
Ac (0.994, 0.751, 0.988)
Ac (0.328, 0.427, 0.655)
Ac (0.006, 0.249, 0.012)
Ac (0.672, 0.573, 0.345)

[3]
Compound: Ac4AsPtSe2
Source: Alexandria via LeMat-Bulk
Functional: PBE
Structure: optimized geometry

Calculated values
Density in Mg/m³: 8.58
Uncorrected formation energy in meV/atom: -1580

abc: 4.422 7.858 7.866
angles: 108.93 90.00 90.00
Sites, in units of the cell vectors:
Ac (0.000, 0.263, 0.768)
Ac (0.000, 0.737, 0.232)
Ac (0.500, 0.248, 0.242)
Ac (0.500, 0.752, 0.758)
Pt (0.500, 0.500, 0.000)
As (0.000, 0.000, 0.000)
Se (0.000, 0.500, 0.500)
Se (0.500, 0.000, 0.500)

[4]
Compound: Ac3Si2AsPt9
Source: Alexandria via LeMat-Bulk
Functional: PBE
Structure: optimized geometry

Calculated values
Density in Mg/m³: 13.10
Uncorrected formation energy in meV/atom: -796

abc: 6.627 6.627 8.559
angles: 90.00 90.00 120.00
Sites, in units of the cell vectors:
Ac (0.667, 0.333, 0.332)
Ac (0.000, 0.000, 0.000)
Ac (0.333, 0.667, 0.668)
Pt (0.297, 0.149, 0.710)
Pt (0.851, 0.149, 0.710)
Pt (0.000, 0.500, 0.000)
Pt (0.703, 0.851, 0.290)
Pt (0.500, 0.500, 0.000)
Pt (0.149, 0.297, 0.290)
Pt (0.500, 0.000, 0.000)
Pt (0.851, 0.703, 0.710)
Pt (0.149, 0.851, 0.290)
Si (0.667, 0.333, 0.818)
Si (0.333, 0.667, 0.182)
As (0.000, 0.000, 0.500)

[5]
Compound: AcSmAs2Pt2
Source: Alexandria via LeMat-Bulk
Functional: PBE
Structure: optimized geometry

Calculated values
Density in Mg/m³: 11.09
DFT total energy in eV per atom: -6.29

abc: 4.396 4.396 8.209
angles: 90.00 90.00 120.00
Sites, in units of the cell vectors:
Sm (0.000, 0.000, 0.500)
As (0.333, 0.667, 0.268)
As (0.667, 0.333, 0.732)
Ac (0.000, 0.000, 0.000)
Pt (0.333, 0.667, 0.737)
Pt (0.667, 0.333, 0.263)

[6]
Compound: Ac2SnAs3Pt4
Source: Alexandria via LeMat-Bulk
Functional: PBE
Structure: optimized geometry

Calculated values
Density in Mg/m³: 12.08
DFT total energy in eV per atom: -5.93

abc: 4.526 4.526 10.589
angles: 90.00 90.00 90.00
Sites, in units of the cell vectors:
Pt (0.500, 0.500, 0.000)
Pt (0.000, 0.000, 0.000)
Pt (0.000, 0.500, 0.362)
Pt (0.500, 0.000, 0.638)
Sn (0.500, 0.500, 0.500)
Ac (0.500, 0.000, 0.236)
Ac (0.000, 0.500, 0.764)
As (0.500, 0.000, 0.874)
As (0.000, 0.500, 0.126)
As (0.000, 0.000, 0.500)

no.,total magnetic moment (Bohr magnetons per cell)
1,0.00
2,0.00
3,0.00
4,0.00
5,0.00
6,0.00